Record 1
First-principles (meta-GGA SCAN) data for InCo2Pt at its PBEsol-relaxed geometry, as listed in Alexandria.

The formation energy is -0.299 eV per formula unit. The density of states at the Fermi level comes out at 2.967 states/eV/f.u. The value obtained for the total energy is -34.622 eV/atom. The magnetic moment comes out at 14.336 Bohr magnetons per cell.

The structure belongs to space group F-43m (No. 216); the cell edges are 6.078, 6.078 and 6.078 Å and the angles 90.00°, 90.00° and 90.00°. The distinct sites, in fractional coordinates, are In at (0.000, 0.000, 0.000), Co at (0.000, 0.000, 0.500), Co at (0.250, 0.250, 0.250) and Pt at (0.250, 0.250, 0.750).

Record 2
First-principles (meta-GGA SCAN) data for ZnIr2Rh at its PBEsol-relaxed geometry, as listed in Alexandria.

The formation energy is -0.531 eV per formula unit. The density of states at the Fermi level comes out at 2.823 states/eV/f.u. The value obtained for the total energy is -47.504 eV/atom. The magnetic moment comes out at 0.000 Bohr magnetons per cell.

The structure belongs to space group P4mm (No. 99); the cell edges are 2.719, 2.719 and 7.437 Å and the angles 90.00°, 90.00° and 90.00°. The distinct sites, in fractional coordinates, are Zn at (0.000, 0.000, 0.000), Ir at (0.000, 0.000, 0.503), Ir at (0.500, 0.500, 0.255) and Rh at (0.500, 0.500, 0.752).

Record 3
First-principles (meta-GGA SCAN) data for K2Hg2Bi at its PBEsol-relaxed geometry, as listed in Alexandria.

The formation energy is -1.760 eV per formula unit. The density of states at the Fermi level comes out at 2.081 states/eV/f.u. The value obtained for the total energy is -46.666 eV/atom. The magnetic moment comes out at 0.000 Bohr magnetons per cell.

The structure belongs to space group P4/mbm (No. 127); the cell edges are 7.937, 7.937 and 5.269 Å and the angles 90.00°, 90.00° and 90.00°. The distinct sites, in fractional coordinates, are K at (0.180, 0.320, 0.000), Hg at (0.130, 0.630, 0.500) and Bi at (0.000, 0.000, 0.500).

Record 4
First-principles (meta-GGA SCAN) data for MgPt4Au at its PBEsol-relaxed geometry, as listed in Alexandria.

The formation energy is -1.681 eV per formula unit. The density of states at the Fermi level comes out at 3.146 states/eV/f.u. The value obtained for the total energy is -59.431 eV/atom. The magnetic moment comes out at 0.000 Bohr magnetons per cell.

The structure belongs to space group F-43m (No. 216); the cell edges are 7.383, 7.383 and 7.383 Å and the angles 90.00°, 90.00° and 90.00°. The distinct sites, in fractional coordinates, are Mg at (0.000, 0.000, 0.000), Pt at (0.125, 0.125, 0.375) and Au at (0.250, 0.250, 0.750).

Record 5
First-principles (meta-GGA SCAN) data for Li3MnCr3O8 at its PBEsol-relaxed geometry, as listed in Alexandria.

As for the energy relative to the elements, uncorrected: -2457 meV per atom. The value obtained for the total energy is -11.152 eV/atom. The magnetic moment comes out at 36.000 Bohr magnetons per cell.

The structure belongs to space group R-3m (No. 166, hexagonal axes); the cell edges are 5.7895, 5.7895 and 14.2580 Å and the angles 90.00°, 90.00° and 120.00°. The distinct sites, in fractional coordinates, are Li at (0.0000, 0.5000, 0.0000), Mn at (0.0000, 0.0000, 0.5000), Cr at (0.0000, 0.5000, 0.5000), O at (0.0000, 0.0000, 0.2411) and O at (0.0125, 0.5062, 0.2382).

Record 6
First-principles (meta-GGA SCAN) data for LaMgAg at its PBEsol-relaxed geometry, as listed in Alexandria.

The formation energy is -1.027 eV per formula unit. The density of states at the Fermi level comes out at 2.558 states/eV/f.u. The value obtained for the total energy is -26.824 eV/atom. The magnetic moment comes out at 0.000 Bohr magnetons per cell.

The structure belongs to space group P-62m (No. 189); the cell edges are 7.7283, 7.7283 and 4.3738 Å and the angles 90.00°, 90.00° and 120.00°. The distinct sites, in fractional coordinates, are La at (0.0000, 0.4175, 0.0000), Mg at (0.0000, 0.7627, 0.5000), Ag at (0.0000, 0.0000, 0.0000) and Ag at (0.3333, 0.6667, 0.5000).